Material: SmPu2OsC4
Method: DFT, PBE
State: relaxed

It has space group Cmcm (No. 63), with a = 3.5290 Å, b = 11.6781 Å, c = 12.1520 Å, α = 90.00°, β = 90.00° and γ = 90.00°. Symmetry generates all atoms from Sm at (0.0000, 0.1012, 0.2500), Pu at (0.0000, 0.3703, 0.0405), Os at (0.0000, 0.1602, 0.7500), C at (0.0000, 0.0000, 0.0000), C at (0.0000, 0.2590, 0.6239) and C at (0.0000, 0.4278, 0.2500).

The value obtained for the uncorrected energy is -80.77 eV per formula unit. The value obtained for the calculated formation energy is 0.09 eV/atom.